Entry from Alexandria via LeMat-Bulk: Y2Mo4O15 after structural relaxation (PBEsol).

abc: 6.746 9.579 10.578
angles: 90.00 105.23 90.00
Space group P2_1/c (No. 14)
Unique sites:
Y: 0.211 0.023 0.275 x4
Mo: 0.081 0.744 0.011 x4
Mo: 0.383 0.096 0.844 x4
O: 0.023 0.128 0.397 x4
O: 0.119 0.165 0.098 x4
O: 0.123 0.055 0.818 x4
O: 0.218 0.652 0.918 x4
O: 0.249 0.635 0.617 x4
O: 0.387 0.223 0.350 x4
O: 0.448 0.028 0.707 x4
O: 0.500 0.000 0.000 x2

Computed properties:
formation energy without anion corrections = -51.161 eV/f.u.
calculated total energy = -381.2 eV for the cell shown

Entry from Alexandria via LeMat-Bulk: ZnMoO4 after structural relaxation (PBEsol).

abc: 4.661 5.716 4.868
angles: 90.00 90.15 90.00
Space group P2/c (No. 13)
Unique sites:
Zn: 0.000 0.184 0.250 x2
Mo: 0.500 0.313 0.750 x2
O: 0.244 0.123 0.597 x4
O: 0.283 0.395 0.062 x4

Computed properties:
formation energy without anion corrections = -10.913 eV/f.u.
calculated total energy = -90.5 eV for the cell shown

Entry from Alexandria via LeMat-Bulk: ZrMoO3 after structural relaxation (PBEsol).

abc: 4.080 4.080 4.080
angles: 90.00 90.00 90.00
Space group Pm-3m (No. 221)
Unique sites:
Zr: 0.000 0.000 0.000 x1
Mo: 0.500 0.500 0.500 x1
O: 0.000 0.000 0.500 x3

Computed properties:
formation energy without anion corrections = -7.206 eV/f.u.
calculated total energy = -43.8 eV for the cell shown